(1)
YNiP3: optimized geometry, PBE-GGA.

Values from the calculation:
Relative energy among the computed polymorphs, meV per atom: 0
Formation energy from the elements, meV/atom: -178.7
Density, g/cm³: 4.44
Volume, Å³ per cell: 89.94

CIF file:
```
data_YNiP3
_cell_length_a 4.480
_cell_length_b 4.480
_cell_length_c 4.480
_cell_angle_alpha 90.00
_cell_angle_beta 90.00
_cell_angle_gamma 90.00
_space_group_name_H-M_alt 'P 1'
_space_group_IT_number 1
loop_
_space_group_symop_operation_xyz
'x,y,z'
loop_
_atom_site_label
_atom_site_fract_x
_atom_site_fract_y
_atom_site_fract_z
_atom_site_occupancy
Y1 0.000 0.000 0.000 1
Ni1 0.500 0.500 0.500 1
P1 0.000 0.500 0.500 1
P2 0.500 0.000 0.500 1
P3 0.500 0.500 0.000 1
```

***

(2)
YNiP4: optimized geometry, PBE-GGA.

Values from the calculation:
Relative energy among the computed polymorphs, meV per atom: 0
Formation energy from the elements, meV/atom: -212.6
Density, g/cm³: 4.37
Volume, Å³ per cell: 206.41

CIF file:
```
data_YNiP4
_cell_length_a 6.036
_cell_length_b 6.036
_cell_length_c 7.754
_cell_angle_alpha 90.00
_cell_angle_beta 90.00
_cell_angle_gamma 133.05
_space_group_name_H-M_alt 'P 1'
_space_group_IT_number 1
loop_
_space_group_symop_operation_xyz
'x,y,z'
loop_
_atom_site_label
_atom_site_fract_x
_atom_site_fract_y
_atom_site_fract_z
_atom_site_occupancy
Y1 0.000 0.000 0.000 1
Y2 0.000 0.000 0.500 1
Ni1 0.387 0.613 0.000 1
Ni2 0.613 0.387 0.000 1
P1 0.000 0.500 0.167 1
P2 0.000 0.500 0.833 1
P3 0.272 0.728 0.500 1
P4 0.500 0.000 0.167 1
P5 0.500 0.000 0.833 1
P6 0.500 0.500 0.252 1
P7 0.500 0.500 0.748 1
P8 0.728 0.272 0.500 1
```

***

(3)
YNiP: optimized geometry, PBE-GGA.

Values from the calculation:
Formation energy from the elements, meV/atom: -702.5
Density, g/cm³: 5.80
Volume, Å³ per cell: 204.46

CIF file:
```
data_YNiP
_cell_length_a 5.327
_cell_length_b 5.327
_cell_length_c 11.598
_cell_angle_alpha 90.00
_cell_angle_beta 90.00
_cell_angle_gamma 141.60
_space_group_name_H-M_alt 'P 1'
_space_group_IT_number 1
loop_
_space_group_symop_operation_xyz
'x,y,z'
loop_
_atom_site_label
_atom_site_fract_x
_atom_site_fract_y
_atom_site_fract_z
_atom_site_occupancy
Y1 0.199 0.801 0.615 1
Y2 0.199 0.801 0.885 1
Y3 0.801 0.199 0.115 1
Y4 0.801 0.199 0.385 1
Ni1 0.479 0.521 0.750 1
Ni2 0.500 0.500 0.000 1
Ni3 0.500 0.500 0.500 1
Ni4 0.521 0.479 0.250 1
P1 0.084 0.916 0.117 1
P2 0.084 0.916 0.383 1
P3 0.916 0.084 0.617 1
P4 0.916 0.084 0.883 1
```

***

(4)
YNiP2: optimized geometry, PBE-GGA.

Values from the calculation:
Formation energy from the elements, meV/atom: -697.4
Density, g/cm³: 4.66
Volume, Å³ per cell: 149.43

CIF file:
```
data_YNiP2
_cell_length_a 8.046
_cell_length_b 8.046
_cell_length_c 8.046
_cell_angle_alpha 147.55
_cell_angle_beta 147.55
_cell_angle_gamma 46.55
_space_group_name_H-M_alt 'P 1'
_space_group_IT_number 1
loop_
_space_group_symop_operation_xyz
'x,y,z'
loop_
_atom_site_label
_atom_site_fract_x
_atom_site_fract_y
_atom_site_fract_z
_atom_site_occupancy
Y1 0.000 0.000 0.000 1
Y2 0.750 0.250 0.500 1
Ni1 0.250 0.750 0.500 1
Ni2 0.500 0.500 0.000 1
P1 0.282 0.625 0.157 1
P2 0.375 0.532 0.657 1
P3 0.468 0.125 0.843 1
P4 0.875 0.718 0.343 1
```

***

(5)
Y4Ni5P2: optimized geometry, PBE-GGA.

Values from the calculation:
Formation energy from the elements, meV/atom: -695.0
Density, g/cm³: 6.07
Volume, Å³ per cell: 194.38

CIF file:
```
data_Y4Ni5P2
_cell_length_a 3.816
_cell_length_b 3.939
_cell_length_c 12.931
_cell_angle_alpha 90.00
_cell_angle_beta 90.00
_cell_angle_gamma 90.00
_space_group_name_H-M_alt 'P 1'
_space_group_IT_number 1
loop_
_space_group_symop_operation_xyz
'x,y,z'
loop_
_atom_site_label
_atom_site_fract_x
_atom_site_fract_y
_atom_site_fract_z
_atom_site_occupancy
Y1 0.000 0.000 0.000 1
Y2 0.000 0.500 0.265 1
Y3 0.000 0.500 0.735 1
Y4 0.500 0.500 0.500 1
Ni1 0.000 0.000 0.500 1
Ni2 0.500 0.000 0.168 1
Ni3 0.500 0.000 0.356 1
Ni4 0.500 0.000 0.644 1
Ni5 0.500 0.000 0.832 1
P1 0.500 0.500 0.095 1
P2 0.500 0.500 0.905 1
```

***

(6)
YNi4P2: optimized geometry, PBE-GGA.

Values from the calculation:
Relative energy among the computed polymorphs, meV per atom: 0
Formation energy from the elements, meV/atom: -827.0
Density, g/cm³: 7.03
Volume, Å³ per cell: 182.15

CIF file:
```
data_YNi4P2
_cell_length_a 7.107
_cell_length_b 7.107
_cell_length_c 3.606
_cell_angle_alpha 90.00
_cell_angle_beta 90.00
_cell_angle_gamma 90.00
_space_group_name_H-M_alt 'P 1'
_space_group_IT_number 1
loop_
_space_group_symop_operation_xyz
'x,y,z'
loop_
_atom_site_label
_atom_site_fract_x
_atom_site_fract_y
_atom_site_fract_z
_atom_site_occupancy
Y1 0.000 0.000 0.000 1
Y2 0.500 0.500 0.500 1
Ni1 0.084 0.336 0.500 1
Ni2 0.164 0.584 0.000 1
Ni3 0.336 0.084 0.500 1
Ni4 0.416 0.836 0.000 1
Ni5 0.584 0.164 0.000 1
Ni6 0.664 0.916 0.500 1
Ni7 0.836 0.416 0.000 1
Ni8 0.916 0.664 0.500 1
P1 0.221 0.779 0.500 1
P2 0.279 0.279 0.000 1
P3 0.721 0.721 0.000 1
P4 0.779 0.221 0.500 1
```

***

Which of these has the lowest volume?
YNiP3